5
Lattice="-3.177 0.692 5.028 -1.520 -5.789 -0.163 4.842 -1.363 3.248" Properties=species:S:1:pos:R:3 comment="SrBi3Rh | Alexandria | GGA-PBE | optimized geometry" dos_at_fermi_per_ev_atom=2.443 final_energy_ev_per_cell=-13.87 relative_energy_mev_per_atom=1768 pbc="T T T"
Rh 0.072 -3.230 4.056
Bi -0.760 -2.894 -0.082
Sr 0.000 0.000 0.000
Bi -1.589 0.346 2.514
Bi 2.421 -0.682 1.624